VASP calculation (GGA-PBE) on crystalline CePm4Cd3 at its relaxed geometry.

Output
Spin magnetization: 0.0 Bohr magnetons per cell
Calculated formation energy: -0.21 eV/atom
Density of states at the Fermi level: 1.24 states/eV per atom

Lattice parameters (Å, degrees): 3.7284 3.7284 16.5796 90.00 90.00 90.00
Space group P4/mmm (No. 123)
Asymmetric unit:
Ce  0.0000  0.0000  0.0000 [1 per cell]
Pm  0.5000  0.5000  0.1388 [2 per cell]
Pm  0.5000  0.5000  0.3811 [2 per cell]
Cd  0.0000  0.0000  0.2592 [2 per cell]
Cd  0.0000  0.0000  0.5000 [1 per cell]

VASP calculation (GGA-PBE) on crystalline CePmCd at its relaxed geometry.

Output
Spin magnetization: 2.1 Bohr magnetons per cell
Relative energy among the computed polymorphs: 0.042 eV per atom
Calculated formation energy: -0.09 eV/atom
Density of states at the Fermi level: 2.24 states/eV per atom

Lattice parameters (Å, degrees): 3.5298 3.5298 14.1864 90.00 90.00 90.00
Space group I4mm (No. 107)
Asymmetric unit:
Ce  0.0000  0.0000  0.0000 [2 per cell]
Pm  0.0000  0.0000  0.3135 [2 per cell]
Cd  0.0000  0.0000  0.6582 [2 per cell]

VASP calculation (GGA-PBE) on crystalline CePm2Cd4 at its relaxed geometry.

Output
Spin magnetization: 4.0 Bohr magnetons per cell
Calculated formation energy: -0.07 eV/atom
Density of states at the Fermi level: 1.70 states/eV per atom

Lattice parameters (Å, degrees): 5.3133 5.3133 25.9722 90.00 90.00 120.00
Space group R-3m (No. 166, hexagonal axes)
Asymmetric unit:
Ce  0.0000  0.0000  0.0000 [3 per cell]
Pm  0.0000  0.0000  0.2494 [6 per cell]
Cd  0.0000  0.0000  0.1261 [6 per cell]
Cd  0.0000  0.0000  0.3822 [6 per cell]

VASP calculation (GGA-PBE) on crystalline CePm2Cd at its relaxed geometry.

Output
Spin magnetization: 2.9 Bohr magnetons per cell
Relative energy among the computed polymorphs: 0.114 eV per atom
Calculated formation energy: 0.00 eV/atom
Density of states at the Fermi level: 1.76 states/eV per atom

Lattice parameters (Å, degrees): 3.5682 3.5682 33.3578 90.00 90.00 120.00
Space group R3m (No. 160, hexagonal axes)
Asymmetric unit:
Ce  0.0000  0.0000  0.0000 [3 per cell]
Pm  0.0000  0.0000  0.2449 [3 per cell]
Pm  0.0000  0.0000  0.4207 [3 per cell]
Cd  0.0000  0.0000  0.8329 [3 per cell]

VASP calculation (GGA-PBE) on crystalline CePmCd5 at its relaxed geometry.

Output
Spin magnetization: 1.8 Bohr magnetons per cell
Calculated formation energy: -0.06 eV/atom
Density of states at the Fermi level: 1.41 states/eV per atom

Lattice parameters (Å, degrees): 7.0750 7.4107 7.3341 90.00 90.00 90.00
Space group Cmmm (No. 65)
Asymmetric unit:
Ce  0.0000  0.0000  0.0000 [2 per cell]
Pm  0.0000  0.5000  0.5000 [2 per cell]
Cd  0.0000  0.0000  0.5000 [2 per cell]
Cd  0.2500  0.2500  0.2424 [8 per cell]

VASP calculation (GGA-PBE) on crystalline CePm6Cd5 at its relaxed geometry.

Output
Spin magnetization: 7.0 Bohr magnetons per cell
Calculated formation energy: -0.21 eV/atom
Density of states at the Fermi level: 1.43 states/eV per atom

Lattice parameters (Å, degrees): 5.3990 7.8766 16.2152 90.00 90.00 90.00
Space group Immm (No. 71)
Asymmetric unit:
Ce  0.0000  0.0000  0.0000 [2 per cell]
Pm  0.0000  0.2302  0.5000 [4 per cell]
Pm  0.0000  0.2565  0.1701 [8 per cell]
Cd  0.0000  0.0000  0.3301 [4 per cell]
Cd  0.0000  0.5000  0.0000 [2 per cell]
Cd  0.0000  0.5000  0.3435 [4 per cell]

VASP calculation (GGA-PBE) on crystalline CePmCd2 at its relaxed geometry.

Output
Spin magnetization: 1.8 Bohr magnetons per cell
Relative energy among the computed polymorphs: 0.000 eV per atom
Calculated formation energy: -0.21 eV/atom
Density of states at the Fermi level: 2.56 states/eV per atom

Lattice parameters (Å, degrees): 3.7979 3.7979 7.8088 90.00 90.00 90.00
Space group P4/mmm (No. 123)
Asymmetric unit:
Ce  0.0000  0.0000  0.0000 [1 per cell]
Pm  0.0000  0.0000  0.5000 [1 per cell]
Cd  0.5000  0.5000  0.2546 [2 per cell]

VASP calculation (GGA-PBE) on crystalline CePmCd at its relaxed geometry.

Output
Spin magnetization: 0.8 Bohr magnetons per cell
Relative energy among the computed polymorphs: 0.108 eV per atom
Calculated formation energy: -0.02 eV/atom
Density of states at the Fermi level: 2.03 states/eV per atom

Lattice parameters (Å, degrees): 5.3270 5.3270 3.4144 90.00 90.00 120.00
Space group P3m1 (No. 156)
Asymmetric unit:
Ce  0.0000  0.0000  0.0000 [1 per cell]
Pm  0.6667  0.3333  0.6299 [1 per cell]
Cd  0.3333  0.6667  0.3360 [1 per cell]